[1]
DFT (PBE-GGA) results for a relaxed RbScGa2I6 crystal.

a b c (Å): 8.183 8.180 8.859
angles (deg): 62.45 62.43 59.92
Sites, in units of the cell vectors:
Rb  0.818  0.818  0.546
Sc  0.328  0.328  0.016
Ga  0.512  0.512  0.465
Ga  0.001  0.002  0.996
I  0.552  0.265  0.225
I  0.264  0.958  0.225
I  0.958  0.552  0.225
I  0.366  0.712  0.772
I  0.713  0.149  0.772
I  0.150  0.366  0.772

Properties
Space group = P1, No. 1
E_form (uncorrected) = -0.92 eV/atom

***

[2]
DFT (PBE-GGA) results for a relaxed BaLa2Tl3Se6 crystal.

a b c (Å): 4.475 9.151 10.209
angles (deg): 102.54 102.66 90.00
Sites, in units of the cell vectors:
Ba  0.500  0.000  0.000
La  0.830  0.662  0.660
La  0.170  0.338  0.340
Tl  0.500  0.500  0.000
Tl  0.832  0.166  0.664
Tl  0.168  0.834  0.336
Se  0.332  0.883  0.664
Se  0.674  0.566  0.348
Se  0.668  0.117  0.336
Se  0.015  0.266  0.029
Se  0.985  0.734  0.971
Se  0.326  0.434  0.652

Properties
Space group = C2/m, No. 12
E_form (uncorrected) = -1.31 eV/atom

***

[3]
DFT (PBE-GGA) results for a relaxed Pr5HoGa6 crystal.

a b c (Å): 5.235 9.042 9.063
angles (deg): 60.08 73.20 54.59
Sites, in units of the cell vectors:
Pr  0.500  0.174  0.653
Pr  0.000  0.337  0.326
Pr  0.500  0.500  0.000
Pr  0.000  0.663  0.674
Pr  0.500  0.826  0.347
Ho  0.000  0.000  0.000
Ga  0.760  0.078  0.324
Ga  0.240  0.598  0.324
Ga  0.269  0.231  0.000
Ga  0.731  0.769  0.000
Ga  0.760  0.402  0.676
Ga  0.240  0.922  0.676

Properties
Space group = Immm, No. 71
Formation energy = -0.546 eV per atom

***

[4]
DFT (PBE-GGA) results for a relaxed FeTe2Rh crystal.

a b c (Å): 3.767 3.767 7.016
angles (deg): 74.27 74.27 60.37
Each line ends with the local moment (μB).
Sites, in units of the cell vectors:
Fe  0.250  0.250  0.250  2.85
Rh  0.750  0.750  0.750  -0.03
Te  0.002  0.002  0.995  0.02
Te  0.498  0.498  0.505  0.02

Properties
Space group = C2/m, No. 12
E_form (uncorrected) = 0.10 eV/atom

***

[5]
DFT (PBE-GGA) results for a relaxed HIrS2 crystal.

a b c (Å): 6.418 3.074 12.260
angles (deg): 90.00 90.00 90.00
Sites, in units of the cell vectors:
H  0.514  0.250  0.331
H  0.986  0.750  0.831
H  0.486  0.750  0.669
H  0.014  0.250  0.169
S  0.795  0.250  0.505
S  0.705  0.750  0.005
S  0.205  0.750  0.495
S  0.295  0.250  0.995
S  0.432  0.250  0.702
S  0.068  0.750  0.202
S  0.568  0.750  0.298
S  0.932  0.250  0.798
Ir  0.085  0.250  0.623
Ir  0.415  0.750  0.123
Ir  0.915  0.750  0.377
Ir  0.585  0.250  0.877

Properties
Distance to the lowest polymorph of the same formula = 218 meV per atom
Space group = Pnma, No. 62

***

[6]
DFT (PBE-GGA) results for a relaxed Ti3InMo crystal.

a b c (Å): 6.456 6.456 6.456
angles (deg): 90.00 90.00 90.00
Each line ends with the local moment (μB).
Sites, in units of the cell vectors:
Ti  0.500  0.500  0.500  1.15
Ti  0.229  0.229  0.229  0.10
Ti  0.771  0.771  0.229  0.10
Ti  0.771  0.229  0.771  0.10
Ti  0.229  0.771  0.771  0.10
Ti  0.229  0.229  0.771  0.10
Ti  0.771  0.771  0.771  0.10
Ti  0.229  0.771  0.229  0.10
Ti  0.771  0.229  0.229  0.10
In  0.000  0.500  0.500  -0.01
In  0.500  0.000  0.500  -0.01
In  0.500  0.500  0.000  -0.01
Mo  0.500  0.000  0.000  0.02
Mo  0.000  0.500  0.000  0.02
Mo  0.000  0.000  0.500  0.02

Properties
Distance to the lowest polymorph of the same formula = 0 meV per atom
Space group = Pm-3m, No. 221
Formation energy = -0.001 eV per atom

***

[7]
DFT (PBE-GGA) results for a relaxed LaY2Pu crystal.

a b c (Å): 3.565 3.565 10.166
angles (deg): 90.00 90.00 90.00
Each line ends with the local moment (μB).
Sites, in units of the cell vectors:
Y  0.000  0.000  0.764  -0.11
Y  0.000  0.000  0.236  -0.11
La  0.500  0.500  0.500  0.02
Pu  0.500  0.500  0.000  -5.61

Properties
Distance to the lowest polymorph of the same formula = 0 meV per atom
Space group = P4/mmm, No. 123
Formation energy = 0.119 eV per atom

***

Copy entry 2 word for word.
DFT (PBE-GGA) results for a relaxed BaLa2Tl3Se6 crystal.

a b c (Å): 4.475 9.151 10.209
angles (deg): 102.54 102.66 90.00
Sites, in units of the cell vectors:
Ba  0.500  0.000  0.000
La  0.830  0.662  0.660
La  0.170  0.338  0.340
Tl  0.500  0.500  0.000
Tl  0.832  0.166  0.664
Tl  0.168  0.834  0.336
Se  0.332  0.883  0.664
Se  0.674  0.566  0.348
Se  0.668  0.117  0.336
Se  0.015  0.266  0.029
Se  0.985  0.734  0.971
Se  0.326  0.434  0.652

Properties
Space group = C2/m, No. 12
E_form (uncorrected) = -1.31 eV/atom